# 1
Entry from the Alexandria database: a geometry-optimized CsAgI2 structure (PBE).

```
4
Lattice="0.000 4.275 4.275 4.275 0.000 4.275 4.275 4.275 0.000" Properties=species:S:1:pos:R:3 pbc="T T T"
Cs 0.000 0.000 0.000
Ag 4.275 4.275 4.275
I 2.138 2.138 2.138
I 6.413 6.413 6.413
```

mass density = 5.26 g/cm3
SG = Fm-3m
D(E_F) = 0.000 states/eV/atom
ΔE_f (raw) = -559 meV/atom
total magnetic moment = 0.000 μB per formula unit

---

# 2
Entry from the Alexandria database: a geometry-optimized CsAgI2 structure (PBE).

```
4
Lattice="3.078 1.777 8.557 -3.078 1.777 8.557 0.000 -3.554 8.557" Properties=species:S:1:pos:R:3 pbc="T T T"
Cs 0.000 0.000 0.000
Ag 0.000 0.000 12.835
I 0.000 0.000 10.206
I 0.000 0.000 15.464
```

mass density = 2.92 g/cm3
SG = R-3m
D(E_F) = 0.000 states/eV/atom
ΔE_f (raw) = -855 meV/atom
total magnetic moment = 0.000 μB per formula unit

---

# 3
Entry from the Alexandria database: a geometry-optimized Cs3AgI5 structure (PBE).

```
18
Lattice="-5.193 5.193 8.451 5.193 -5.193 8.451 5.193 5.193 -8.451" Properties=species:S:1:pos:R:3 pbc="T T T"
Cs 6.775 1.582 0.000
Cs 0.000 0.000 4.226
Cs 1.582 3.611 0.000
Cs 3.611 1.582 8.451
Cs 0.000 0.000 12.677
Cs -1.582 3.611 8.451
Ag 5.193 0.000 4.226
Ag 0.000 5.193 4.226
I 0.000 0.000 0.000
I 3.637 1.556 -2.496
I 3.637 -1.556 5.955
I 3.637 1.556 2.496
I 3.637 -1.556 10.948
I 0.000 0.000 8.451
I 1.556 6.749 -2.496
I 1.556 3.637 5.955
I 1.556 6.749 2.496
I 1.556 3.637 10.948
```

mass density = 4.16 g/cm3
SG = I4/mcm
D(E_F) = 2.059 states/eV/atom
ΔE_f (raw) = -1034 meV/atom
total magnetic moment = 0.000 μB per formula unit

---

# 4
Entry from the Alexandria database: a geometry-optimized Cs6AgI4 structure (PBE).

```
22
Lattice="7.863 4.540 6.267 -7.863 4.540 6.267 0.000 -9.080 6.267" Properties=species:S:1:pos:R:3 pbc="T T T"
Cs -6.756 -1.820 10.422
Cs -1.802 -6.761 8.380
Cs -1.802 -2.319 7.288
Cs -4.954 4.941 8.380
Cs -1.107 2.720 7.288
Cs -2.909 0.401 11.513
Cs 2.909 -0.401 7.288
Cs 1.107 -2.720 11.513
Cs 4.954 -4.941 10.422
Cs 1.802 2.319 11.513
Cs 1.802 6.761 10.422
Cs 6.756 1.820 8.380
Ag 0.000 0.000 0.000
Ag 0.000 0.000 9.401
I -4.868 0.649 7.834
I 0.000 0.000 4.700
I -2.996 -3.891 10.968
I 1.872 -4.540 7.834
I -1.872 4.540 10.968
I 2.996 3.891 7.834
I 0.000 0.000 14.101
I 4.868 -0.649 10.968
```

mass density = 3.50 g/cm3
SG = R-3c
D(E_F) = 0.445 states/eV/atom
ΔE_f (raw) = -1032 meV/atom
total magnetic moment = 0.000 μB per formula unit

---

# 5
Entry from the Alexandria database: a geometry-optimized CsIn2AgI4 structure (PBE).

```
16
Lattice="-5.093 5.211 7.088 5.093 -5.211 7.088 5.093 5.211 -7.088" Properties=species:S:1:pos:R:3 pbc="T T T"
Cs 0.000 0.000 0.000
Cs 0.000 5.211 0.000
In 5.093 0.000 0.000
In -2.546 2.606 3.544
In 0.000 0.000 7.088
In 2.546 2.606 3.544
Ag 2.546 2.606 -3.544
Ag 2.546 -2.606 3.544
I 2.732 2.606 -0.818
I 7.454 2.606 -0.818
I 5.093 0.301 3.396
I 0.000 0.301 3.692
I 5.093 4.910 3.396
I 0.000 4.910 3.692
I -2.361 2.606 7.906
I 2.361 2.606 7.906
```

mass density = 4.32 g/cm3
SG = Imma
D(E_F) = 0.000 states/eV/atom
ΔE_f (raw) = -605 meV/atom
total magnetic moment = 0.000 μB per formula unit

---

# 6
Entry from the Alexandria database: a geometry-optimized Cs2InAgI6 structure (PBE).

```
10
Lattice="0.000 6.003 6.003 6.003 0.000 6.003 6.003 6.003 0.000" Properties=species:S:1:pos:R:3 pbc="T T T"
Cs 3.001 3.001 3.001
Cs 9.004 9.004 9.004
In 0.000 0.000 0.000
Ag 6.003 6.003 6.003
I 6.003 6.003 2.981
I 6.003 2.981 6.003
I 9.025 6.003 6.003
I 2.981 6.003 6.003
I 6.003 9.025 6.003
I 6.003 6.003 9.025
```

mass density = 4.80 g/cm3
SG = Fm-3m
D(E_F) = 0.300 states/eV/atom
ΔE_f (raw) = -853 meV/atom
total magnetic moment = 0.000 μB per formula unit

---

# 7
Entry from the Alexandria database: a geometry-optimized CsInAg2I6 structure (PBE).

```
10
Lattice="7.699 0.000 0.000 0.657 8.353 0.000 3.093 3.183 7.493" Properties=species:S:1:pos:R:3 pbc="T T T"
Cs 0.000 0.000 0.000
In 8.219 7.731 5.166
Ag 3.845 5.930 2.764
Ag 4.416 9.682 3.448
I 5.507 7.959 5.716
I 4.878 3.793 4.108
I 4.495 8.070 1.171
I 9.517 7.026 7.474
I 9.271 10.120 4.205
I 8.595 5.860 3.139
```

mass density = 4.22 g/cm3
SG = P1
D(E_F) = 0.000 states/eV/atom
ΔE_f (raw) = -615 meV/atom
total magnetic moment = 0.000 μB per formula unit

---

# 8
Entry from the Alexandria database: a geometry-optimized CsInAgI6 structure (PBE).

```
9
Lattice="7.556 0.000 0.000 -2.863 6.992 0.000 -0.606 -0.908 8.384" Properties=species:S:1:pos:R:3 pbc="T T T"
Cs 0.000 0.000 0.000
In 0.545 4.048 4.190
Ag 4.175 1.596 4.203
I -1.534 3.995 2.242
I -0.936 1.807 5.615
I -0.190 5.999 6.136
I 2.110 2.233 2.372
I 2.811 3.286 6.019
I 2.065 6.265 2.775
```

mass density = 4.19 g/cm3
SG = P1
D(E_F) = 0.645 states/eV/atom
ΔE_f (raw) = -562 meV/atom
total magnetic moment = 0.000 μB per formula unit